No. 1
This record from Alexandria via LeMat-Bulk describes a relaxed structure of Tb6Pm2ErTm. The functional is PBE.

Values from the calculation:
Energy relative to the elements (meV/atom): 116

a b c (Å): 9.6595 8.7822 8.7822
angles (deg): 118.14 94.44 94.44
Closest atoms and distances in Å follow each position.
Element x y z (fractional)
Tb 0.8122 0.4253 0.9810  2 Tb 3.24-3.57, 1 Pm 3.38, 1 Tm 3.44, 1 Er 3.57
Tb 0.6878 0.0190 0.5747  2 Tb 3.24-3.57, 1 Pm 3.38, 1 Tm 3.44, 1 Er 3.57
Tb 0.0566 0.1255 0.7488  7 Tb 3.40-3.74, 1 Pm 3.49, 1 Er 3.64, 1 Tm 3.80
Tb 0.9434 0.8745 0.2512  7 Tb 3.40-3.74, 1 Pm 3.49, 1 Er 3.64, 1 Tm 3.80
Tb 0.4434 0.2512 0.8745  7 Tb 3.40-3.74, 1 Pm 3.49, 1 Er 3.64, 1 Tm 3.80
Tb 0.1198 0.7091 0.4983  4 Tb 3.24-3.54, 3 Pm 3.24-3.43, 2 Tm 3.42-3.56
Tb 0.5566 0.7488 0.1255  7 Tb 3.40-3.74, 1 Pm 3.49, 1 Er 3.64, 1 Tm 3.80
Tb 0.8802 0.2909 0.5017  4 Tb 3.24-3.54, 3 Pm 3.24-3.43, 2 Tm 3.42-3.56
Tb 0.6198 0.4983 0.7091  4 Tb 3.24-3.54, 3 Pm 3.24-3.43, 2 Tm 3.42-3.56
Tb 0.3802 0.5017 0.2909  4 Tb 3.24-3.54, 3 Pm 3.24-3.43, 2 Tm 3.42-3.56
Tb 0.1878 0.5747 0.0190  2 Tb 3.24-3.57, 1 Pm 3.38, 1 Tm 3.44, 1 Er 3.57
Tb 0.3122 0.9810 0.4253  2 Tb 3.24-3.57, 1 Pm 3.38, 1 Tm 3.44, 1 Er 3.57
Tm 0.7500 0.5924 0.4076  8 Tb 3.42-3.80, 2 Pm 3.55
Tm 0.2500 0.4076 0.5924  8 Tb 3.42-3.80, 2 Pm 3.55
Pm 0.9576 0.7012 0.8047  5 Tb 3.24-3.49, 2 Er 3.36-3.39, 1 Tm 3.55
Pm 0.4576 0.8047 0.7012  5 Tb 3.24-3.49, 2 Er 3.36-3.39, 1 Tm 3.55
Pm 0.5424 0.1953 0.2988  5 Tb 3.24-3.49, 2 Er 3.36-3.39, 1 Tm 3.55
Pm 0.0424 0.2988 0.1953  5 Tb 3.24-3.49, 2 Er 3.36-3.39, 1 Tm 3.55
Er 0.2500 0.9807 0.0193  4 Pm 3.36-3.39, 4 Tb 3.57-3.64
Er 0.7500 0.0193 0.9807  4 Pm 3.36-3.39, 4 Tb 3.57-3.64

=====

No. 2
This record from Alexandria via LeMat-Bulk describes a relaxed structure of ZnCdPb2. The functional is PBE.

Values from the calculation:
Energy relative to the elements (meV/atom): 134
Relative energy among the computed polymorphs (meV/atom): 56

a b c (Å): 5.3250 5.3250 5.3250
angles (deg): 60.00 60.00 60.00
Closest atoms and distances in Å follow each position.
Element x y z (fractional)
Pb 0.0000 0.0000 0.0000  4 Zn 3.26, 4 Pb 3.26
Pb 0.2500 0.2500 0.2500  4 Cd 3.26, 4 Pb 3.26
Zn 0.7500 0.7500 0.7500  4 Cd 3.26, 4 Pb 3.26
Cd 0.5000 0.5000 0.5000  4 Pb 3.26, 4 Zn 3.26

=====

No. 3
This record from Alexandria via LeMat-Bulk describes a relaxed structure of ScCd2Si. The functional is PBE.

Values from the calculation:
Raw formation energy (meV per atom): -76

a b c (Å): 3.1851 3.1851 8.0858
angles (deg): 90.00 90.00 90.00
Closest atoms and distances in Å follow each position.
Element x y z (fractional)
Cd 0.5000 0.5000 0.2519  8 Cd 3.15-3.19, 4 Sc 3.20
Cd 0.0000 0.0000 0.9798  4 Si 2.99, 8 Cd 3.15-3.19
Sc 0.0000 0.0000 0.5326  4 Si 2.79
Si 0.5000 0.5000 0.7358  4 Sc 2.79, 4 Cd 2.99

=====

No. 4
This record from Alexandria via LeMat-Bulk describes a relaxed structure of La6FeNi2I3. The functional is PBE.

Values from the calculation:
Raw formation energy (meV per atom): -683

a b c (Å): 7.2178 7.2178 8.5770
angles (deg): 98.06 98.06 120.00
Closest atoms and distances in Å follow each position.
Element x y z (fractional)
La 0.9388 0.6176 0.8165  1 Fe 2.77, 2 Ni 2.88
La 0.3824 0.0612 0.1835  1 Fe 2.77, 2 Ni 2.88
La 0.0612 0.3824 0.1835  1 Fe 2.77, 2 Ni 2.88
La 0.6176 0.9388 0.8165  1 Fe 2.77, 2 Ni 2.88
La 0.7400 0.7400 0.1839  1 Fe 2.77, 2 Ni 2.88
La 0.2600 0.2600 0.8161  1 Fe 2.77, 2 Ni 2.88
I 0.8333 0.1667 0.5000  6 La 3.52-3.61
I 0.5000 0.5000 0.5000  6 La 3.52-3.60
I 0.1667 0.8333 0.5000  6 La 3.52-3.61
Ni 0.3333 0.6667 0.0000  6 La 2.88
Ni 0.6667 0.3333 0.0000  6 La 2.88
Fe 0.0000 0.0000 0.0000  6 La 2.77

=====

No. 5
This record from Alexandria via LeMat-Bulk describes a relaxed structure of TaFeCuRh. The functional is PBE.

Values from the calculation:
Energy relative to the elements (meV/atom): -139

a b c (Å): 4.2734 4.2734 4.2734
angles (deg): 60.00 60.00 60.00
Closest atoms and distances in Å follow each position.
Element x y z (fractional)
Cu 0.2500 0.2500 0.2500  4 Fe 2.62, 4 Rh 2.62
Fe 0.0000 0.0000 0.0000  4 Cu 2.62, 4 Ta 2.62
Ta 0.7500 0.7500 0.7500  4 Fe 2.62, 4 Rh 2.62
Rh 0.5000 0.5000 0.5000  4 Ta 2.62, 4 Cu 2.62

=====

No. 6
This record from Alexandria via LeMat-Bulk describes a relaxed structure of YSe. The functional is PBE.

Values from the calculation:
Raw formation energy (meV per atom): -1576

a b c (Å): 8.9329 8.9330 5.6820
angles (deg): 90.00 90.00 90.00
Closest atoms and distances in Å follow each position.
Element x y z (fractional)
Y 0.3008 0.0997 0.5000  5 Se 2.80-2.93
Y 0.5997 0.1992 0.0000  5 Se 2.80-2.93
Y 0.0997 0.6992 0.5000  5 Se 2.80-2.93
Y 0.8008 0.5997 0.0000  5 Se 2.80-2.93
Y 0.9003 0.3008 0.5000  5 Se 2.80-2.93
Y 0.4003 0.8008 0.0000  5 Se 2.80-2.93
Y 0.1992 0.4003 0.0000  5 Se 2.80-2.93
Y 0.6992 0.9003 0.5000  5 Se 2.80-2.93
Se 0.7114 0.9061 0.0000  5 Y 2.80-2.93
Se 0.0939 0.7114 0.0000  5 Y 2.80-2.93
Se 0.9061 0.2886 0.0000  5 Y 2.80-2.93
Se 0.2114 0.4061 0.5000  5 Y 2.80-2.93
Se 0.4061 0.7886 0.5000  5 Y 2.80-2.93
Se 0.5939 0.2114 0.5000  5 Y 2.80-2.93
Se 0.7886 0.5939 0.5000  5 Y 2.80-2.93
Se 0.2886 0.0939 0.0000  5 Y 2.80-2.93

=====

no.,uncorrected energy (eV/atom)
1,-4.52
2,-2.27
3,-3.47
4,-5.20
5,-8.08
6,-6.55